VASP calculation (PBE-GGA) on an optimized crystal structure of Hf3AgMo.

POSCAR file:
```
Hf3AgMo
1.0
5.0187 0.0000 0.0000
0.0000 5.0187 0.0000
0.0000 0.0000 5.0187
Hf Ag Mo
3 1 1
Direct
0.0000 0.0000 0.5000 Hf
0.0000 0.5000 0.0000 Hf
0.5000 0.0000 0.0000 Hf
0.5000 0.5000 0.5000 Ag
0.0000 0.0000 0.0000 Mo
```

Summary:
Space-group type: Pm-3m, No. 221
Energy above the most stable polymorph in this dataset, eV/atom: 0.000
Formation energy, meV/atom: 843

VASP calculation (PBE-GGA) on an optimized crystal structure of Cu2AsPt.

POSCAR file:
```
Cu2AsPt
1.0
3.8237 0.0000 0.0000
0.0000 3.8237 0.0000
0.0000 0.0000 3.8940
Cu As Pt
2 1 1
Direct
0.0000 0.5000 0.0000 Cu
0.5000 0.0000 0.0000 Cu
0.0000 0.0000 0.5000 As
0.5000 0.5000 0.5000 Pt
```

Summary:
Space-group type: P4/mmm, No. 123
Formation energy, meV/atom: -26

VASP calculation (PBE-GGA) on an optimized crystal structure of Tb7PmZn4.

POSCAR file:
```
Tb7PmZn4
1.0
7.0130 -2.7864 0.0000
7.0130 2.7864 0.0000
-5.2654 0.0000 8.1610
Tb Pm Zn
7 1 4
Direct
0.0000 0.0000 0.0000 Tb
0.2221 0.2221 0.6724 Tb
0.2923 0.2923 0.1201 Tb
0.4292 0.4292 0.5938 Tb
0.5708 0.5708 0.4062 Tb
0.7077 0.7077 0.8799 Tb
0.7779 0.7779 0.3276 Tb
0.5000 0.5000 0.0000 Pm
0.0398 0.0398 0.7298 Zn
0.1794 0.1794 0.3384 Zn
0.8206 0.8206 0.6616 Zn
0.9602 0.9602 0.2702 Zn
```

Summary:
Space-group type: C2/m, No. 12
Formation energy, meV/atom: -4

VASP calculation (PBE-GGA) on an optimized crystal structure of Pu3In4Sn2.

POSCAR file:
```
Pu3In4Sn2
1.0
7.7971 0.0000 0.0000
-3.8986 6.7525 0.0000
0.0000 0.0000 4.5955
Pu In Sn
3 4 2
Direct
0.0000 0.5921 0.0000 Pu
0.4079 0.4079 0.0000 Pu
0.5921 0.0000 0.0000 Pu
0.0000 0.0000 0.0000 In
0.0000 0.2521 0.5000 In
0.2521 0.0000 0.5000 In
0.7479 0.7479 0.5000 In
0.3333 0.6667 0.5000 Sn
0.6667 0.3333 0.5000 Sn
```

Summary:
Space-group type: P-62m, No. 189
Formation energy, meV/atom: -181